# 1
Zr2MoAs, optimized geometry, DFT PBE-GGA; crystal system = tetragonal; ΔE_f = 0.141 eV/atom; volume = 80.1 Å³/f.u.
1.0
7.471 0.000 0.000
0.000 7.471 0.000
3.735 3.735 2.871
Mo As Zr
2 2 4
direct
0.000 0.000 0.000
0.750 0.250 0.500
0.500 0.500 0.000
0.250 0.750 0.500
0.622 0.125 0.250
0.128 0.625 0.250
0.375 0.378 0.750
0.875 0.872 0.750



# 2
Pu6TlGe, optimized geometry, DFT PBE-GGA; crystal system = tetragonal; ΔE_f = -0.062 eV/atom; volume = 202.2 Å³/f.u.
1.0
4.666 0.000 0.000
0.000 4.666 0.000
0.000 0.000 9.289
Pu Tl Ge
6 1 1
direct
0.500 0.500 0.000
0.500 0.500 0.500
0.500 0.000 0.262
0.500 0.000 0.738
0.000 0.500 0.262
0.000 0.500 0.738
0.000 0.000 0.000
0.000 0.000 0.500



# 3
NdTmU2P4, optimized geometry, DFT PBE-GGA; crystal system = monoclinic; ΔE_f = -1.259 eV/atom; volume = 180.7 Å³/f.u.
1.0
-3.571 -1.223 -1.237
2.511 -6.476 -0.843
-0.823 -3.518 5.856
Nd Tm U P
1 1 2 4
direct
0.500 0.500 0.000
0.000 0.500 0.500
0.000 0.000 0.000
0.500 0.000 0.500
0.000 0.762 0.739
0.000 0.238 0.261
0.500 0.756 0.255
0.500 0.244 0.745



# 4
NaZnBi2, optimized geometry, DFT PBE-GGA; crystal system = trigonal; ΔE_f = 0.016 eV/atom; volume = 116.1 Å³/f.u.
1.0
-3.234 2.099 2.798
0.160 -0.637 4.718
2.489 5.208 3.024
Na Zn Bi
1 1 2
direct
0.494 0.494 0.517
0.672 0.672 0.983
0.075 0.075 0.775
0.258 0.258 0.225



# 5
BN, optimized geometry, DFT PBE-GGA; polymorph energy (0 for the lowest one) = 14.8 kJ/mol of formula units; crystal system = cubic; volume = 11.9 Å³/f.u.
1.0
2.564 0.000 0.000
1.282 2.220 0.000
1.282 0.740 2.093
B N
1 1
direct
0.000 0.000 0.000
0.250 0.250 0.250



# 6
PmPuBiN, optimized geometry, DFT PBE-GGA; crystal system = tetragonal; volume = 100.0 Å³/f.u.
1.0
-0.694 -3.237 -3.336
3.317 -2.708 1.937
-6.272 -3.985 5.169
Pm Pu Bi N
2 2 2 2
direct
0.000 0.000 0.500
0.500 0.500 0.500
0.500 0.000 0.824
0.000 0.500 0.176
0.000 0.500 0.809
0.500 0.000 0.191
0.000 0.500 0.410
0.500 0.000 0.590



| no. | calculated total energy (eV/atom) |
| --- | --- |
| 1 | -8.0031 |
| 2 | -11.6842 |
| 3 | -7.9405 |
| 4 | -2.5725 |
| 5 | -8.7110 |
| 6 | -8.7944 |